Entry 1:
Entry from Alexandria via LeMat-Bulk: a geometry-optimized NaCa2Ho structure (PBE).

abc: 3.7568 3.7568 12.4780
angles: 81.34 81.34 60.00
With the nearest neighbours (Å) after each atom.
Positions (direct):
1 Na 0.6666 0.6666 0.0002  6 Na 3.76, 6 Ca 3.87
2 Ca 0.0870 0.0870 0.7390  3 Ho 3.65, 6 Ca 3.76, 3 Na 3.87
3 Ca 0.2463 0.2463 0.2611  3 Ho 3.65, 6 Ca 3.76, 3 Na 3.87
4 Ho 0.5001 0.5001 0.4998  6 Ca 3.65, 6 Ho 3.76

Values from the calculation:
E above lowest polymorph = 0.000 eV per atom
Formation energy = 102 meV/atom

---

Entry 2:
Entry from Alexandria via LeMat-Bulk: a geometry-optimized ScGaNi3 structure (PBE).

abc: 4.4461 4.4461 4.4461
angles: 90.00 90.00 90.00
With the nearest neighbours (Å) after each atom.
Positions (direct):
1 Sc 0.0000 0.0000 0.0000  6 Ni 2.22
2 Ni 0.0000 0.5000 0.0000  2 Sc 2.22
3 Ni 0.0000 0.0000 0.5000  2 Sc 2.22
4 Ni 0.5000 0.0000 0.0000  2 Sc 2.22
5 Ga 0.5000 0.5000 0.5000  12 Ni 3.14

Values from the calculation:
E above lowest polymorph = 1.201 eV per atom
Formation energy = 911 meV/atom